[1]
Entry from the Alexandria database: ThCdNiRu after structural relaxation (PBE).

Cell: 4.7654 4.7654 4.7654 Å, 60.00 60.00 60.00°
Closest atoms and distances in Å follow each position.
Fractional coordinates of all 4 atoms:
Ru (0.5000, 0.5000, 0.5000)  4 Th 2.92, 4 Cd 2.92
Ni (0.0000, 0.0000, 0.0000)  4 Cd 2.92, 4 Th 2.92
Th (0.2500, 0.2500, 0.2500)  4 Ni 2.92, 4 Ru 2.92
Cd (0.7500, 0.7500, 0.7500)  4 Ru 2.92, 4 Ni 2.92

Computed properties:
Calculated density   10.9 g cm⁻³
Symmetry   F-43m, No. 216
Formation energy   -0.58 eV per formula unit
Crystal system   cubic

***

[2]
Entry from the Alexandria database: NbPd2S4 after structural relaxation (PBE).

Cell: 3.3089 6.5228 11.5920 Å, 90.00 90.00 104.69°
Closest atoms and distances in Å follow each position.
Fractional coordinates of all 14 atoms:
Nb (0.6163, 0.2327, 0.7500)  6 S 2.51-2.53
Nb (0.3837, 0.7673, 0.2500)  6 S 2.51-2.53
Pd (0.1302, 0.2604, 0.4255)  4 S 2.37-2.49
Pd (0.8698, 0.7396, 0.9255)  4 S 2.37-2.49
Pd (0.1302, 0.2604, 0.0745)  4 S 2.37-2.49
Pd (0.8698, 0.7396, 0.5745)  4 S 2.37-2.49
S (0.7944, 0.5888, 0.1171)  3 Pd 2.42-2.70, 2 Nb 2.53
S (0.7944, 0.5888, 0.3829)  3 Pd 2.42-2.70, 2 Nb 2.53
S (0.2056, 0.4112, 0.8829)  3 Pd 2.42-2.70, 2 Nb 2.53
S (0.2056, 0.4112, 0.6171)  3 Pd 2.42-2.70, 2 Nb 2.53
S (0.9669, 0.9337, 0.7500)  2 Pd 2.37, 2 Nb 2.51
S (0.0331, 0.0663, 0.2500)  2 Pd 2.37, 2 Nb 2.51
S (0.5000, 0.0000, 0.0000)  4 Pd 2.49
S (0.5000, 0.0000, 0.5000)  4 Pd 2.49

Computed properties:
Calculated density   6.0 g cm⁻³
Symmetry   Cmcm, No. 63
Polymorph energy (0 for the lowest one)   0 meV/atom
E_form (uncorrected)   -466.2 meV/atom
Crystal system   orthorhombic

***

[3]
Entry from the Alexandria database: AuSeO2F after structural relaxation (PBE).

Cell: 3.9271 3.9271 4.3436 Å, 90.00 90.00 90.00°
Closest atoms and distances in Å follow each position.
Fractional coordinates of all 5 atoms:
Au (0.5000, 0.5000, 0.5000)  4 F 2.78, 8 O 2.93
O (0.0000, 0.5000, 0.0000)  2 Se 1.96
O (0.5000, 0.0000, 0.0000)  2 Se 1.96
Se (0.0000, 0.0000, 0.0000)  4 O 1.96, 2 F 2.17
F (0.0000, 0.0000, 0.5000)  2 Se 2.17

Computed properties:
Calculated density   8.1 g cm⁻³
Symmetry   P4/mmm, No. 123
E_form (uncorrected)   -98.5 meV/atom
Crystal system   tetragonal

***

[4]
Entry from the Alexandria database: Ba2HgIO6 after structural relaxation (PBE).

Cell: 6.1390 6.1390 6.1390 Å, 60.00 60.00 60.00°
Closest atoms and distances in Å follow each position.
Fractional coordinates of all 10 atoms:
Ba (0.7500, 0.7500, 0.7500)  12 O 3.08
Ba (0.2500, 0.2500, 0.2500)  12 O 3.08
Hg (0.5000, 0.5000, 0.5000)  6 O 2.36
I (0.0000, 0.0000, 0.0000)  6 O 1.98
O (0.2279, 0.7721, 0.7721)  1 I 1.98
O (0.2279, 0.7721, 0.2279)  1 I 1.98
O (0.2279, 0.2279, 0.7721)  1 I 1.98
O (0.7721, 0.7721, 0.2279)  1 I 1.98
O (0.7721, 0.2279, 0.2279)  1 I 1.98
O (0.7721, 0.2279, 0.7721)  1 I 1.98

Computed properties:
Calculated density   7.1 g cm⁻³
Symmetry   Fm-3m, No. 225
E_form (uncorrected)   -1404.5 meV/atom
Crystal system   cubic

***

[5]
Entry from the Alexandria database: Y2CdAs after structural relaxation (PBE).

Cell: 5.2249 5.2249 5.2249 Å, 60.00 60.00 60.00°
Closest atoms and distances in Å follow each position.
Fractional coordinates of all 4 atoms:
Y (0.0000, 0.0000, 0.0000)  4 Y 3.20, 4 Cd 3.20
Y (0.2500, 0.2500, 0.2500)  4 As 3.20, 4 Y 3.20
As (0.5000, 0.5000, 0.5000)  4 Cd 3.20, 4 Y 3.20
Cd (0.7500, 0.7500, 0.7500)  4 As 3.20, 4 Y 3.20

Computed properties:
Calculated density   6.0 g cm⁻³
Symmetry   F-43m, No. 216
Polymorph energy (0 for the lowest one)   853 meV/atom
Formation energy   0.03 eV per formula unit
Crystal system   cubic

***

[6]
Entry from the Alexandria database: CdAg3Au2 after structural relaxation (PBE).

Cell: 5.4134 5.8558 7.7939 Å, 112.07 90.00 90.00°
Closest atoms and distances in Å follow each position.
Fractional coordinates of all 12 atoms:
Cd (0.7500, 0.3500, 0.7000)  8 Ag 2.88-3.11, 4 Au 2.95
Cd (0.2500, 0.6500, 0.3000)  8 Ag 2.88-3.11, 4 Au 2.95
Ag (0.7500, 0.8480, 0.6959)  6 Ag 2.86-3.10, 2 Cd 2.93, 4 Au 2.96
Ag (0.2500, 0.1520, 0.3041)  6 Ag 2.86-3.10, 2 Cd 2.93, 4 Au 2.96
Ag (0.7500, 0.9298, 0.3566)  5 Ag 2.86-3.10, 3 Cd 2.88-3.11, 2 Au 2.91
Ag (0.2500, 0.0702, 0.6434)  5 Ag 2.86-3.10, 3 Cd 2.88-3.11, 2 Au 2.91
Ag (0.7500, 0.4268, 0.3566)  5 Ag 2.86-3.10, 3 Cd 2.88-3.11, 2 Au 2.91
Ag (0.2500, 0.5732, 0.6434)  5 Ag 2.86-3.10, 3 Cd 2.88-3.11, 2 Au 2.91
Au (0.0000, 0.7527, 0.0000)  4 Au 2.71-2.96, 4 Ag 2.91-2.96, 2 Cd 2.95
Au (0.5000, 0.2473, 0.0000)  4 Au 2.71-2.96, 4 Ag 2.91-2.96, 2 Cd 2.95
Au (0.0000, 0.2473, 0.0000)  4 Au 2.71-2.96, 4 Ag 2.91-2.96, 2 Cd 2.95
Au (0.5000, 0.7527, 0.0000)  4 Au 2.71-2.96, 4 Ag 2.91-2.96, 2 Cd 2.95

Computed properties:
Calculated density   12.0 g cm⁻³
Symmetry   Cmcm, No. 63
Polymorph energy (0 for the lowest one)   0 meV/atom
Formation energy   -0.04 eV per formula unit
Crystal system   orthorhombic

***

[7]
Entry from the Alexandria database: OsAuSe2 after structural relaxation (PBE).

Cell: 4.6894 4.6894 3.1834 Å, 90.00 90.00 98.53°
Closest atoms and distances in Å follow each position.
Fractional coordinates of all 4 atoms:
Au (0.5000, 0.0000, 0.5000)  8 Se 2.83, 2 Os 3.06
Os (0.0000, 0.5000, 0.5000)  8 Se 2.83, 2 Au 3.06
Se (0.0000, 0.0000, 0.0000)  4 Os 2.83, 4 Au 2.83, 2 Se 3.06
Se (0.5000, 0.5000, 0.0000)  4 Au 2.83, 4 Os 2.83, 2 Se 3.06

Computed properties:
Calculated density   13.1 g cm⁻³
Symmetry   Cmmm, No. 65
Polymorph energy (0 for the lowest one)   713 meV/atom
E_form (uncorrected)   804.8 meV/atom
Crystal system   orthorhombic

***

[8]
Entry from the Alexandria database: PmAsO4 after structural relaxation (PBE).

Cell: 5.1447 5.1447 6.8677 Å, 112.00 112.00 90.00°
Closest atoms and distances in Å follow each position.
Fractional coordinates of all 12 atoms:
Pm (0.0000, 0.0000, 0.0000)  8 O 2.43-2.49
Pm (0.7500, 0.2500, 0.5000)  8 O 2.43-2.49
As (0.5000, 0.5000, 0.0000)  4 O 1.73
As (0.2500, 0.7500, 0.5000)  4 O 1.73
O (0.0313, 0.9209, 0.3439)  1 As 1.73
O (0.1731, 0.2813, 0.8439)  1 As 1.73
O (0.6709, 0.5626, 0.8439)  1 As 1.73
O (0.3126, 0.4231, 0.3439)  1 As 1.73
O (0.4374, 0.8269, 0.1561)  1 As 1.73
O (0.0791, 0.6874, 0.6561)  1 As 1.73
O (0.5769, 0.9687, 0.6561)  1 As 1.73
O (0.7187, 0.3291, 0.1561)  1 As 1.73

Computed properties:
Calculated density   6.1 g cm⁻³
Symmetry   I4_1/a, No. 88
E_form (uncorrected)   -2330.3 meV/atom
Crystal system   tetragonal

***

What is the formula in the fifth record?
Y2CdAs

***

The highest calculated density belongs to which entry?
OsAuSe2